[1]
Density functional theory data (GGA-PBE) for a relaxed structure of HfTa5C6.

```
12
Lattice="-3.364 -0.331 4.359 2.629 -2.469 4.183 2.875 3.015 3.618" Properties=species:S:1:pos:R:3 pbc="T T T"
Hf 0.000 0.000 0.000
C 3.461 -0.344 7.337
C -0.558 -2.092 6.392
C 1.637 -0.499 4.746
C -0.177 -0.708 2.150
C 0.504 0.714 7.414
C -1.321 0.560 4.824
Ta -0.367 -1.400 4.271
Ta 0.675 1.440 5.291
Ta 3.668 0.361 5.200
Ta 1.836 0.185 2.602
Ta 1.465 -1.225 6.869
```

* energy of formation: -660 meV per atom
* volume: 11.43 A^3/atom
* space group: C2/m, No. 12

***

[2]
Density functional theory data (GGA-PBE) for a relaxed structure of HfTaC2.

```
4
Lattice="5.597 0.000 0.000 4.672 3.082 0.000 4.672 1.402 2.744" Properties=species:S:1:pos:R:3 pbc="T T T"
Hf 0.000 0.000 0.000
C 3.690 1.107 0.678
C 11.252 3.377 2.067
Ta 7.471 2.242 1.372
```

* energy of formation: -806 meV per atom
* volume: 11.83 A^3/atom
* space group: R-3m, No. 166
* ΔE to the lowest computed polymorph: 0 meV/atom

***

[3]
Density functional theory data (GGA-PBE) for a relaxed structure of HfTaC3.

```
5
Lattice="-2.454 2.891 -1.504 -2.451 -2.878 -1.534 -2.148 -0.019 3.468" Properties=species:S:1:pos:R:3 pbc="T T T"
Ta 0.000 0.000 0.000
C -1.226 -1.439 -0.767
C -1.227 1.446 -0.752
C -1.074 -0.009 1.734
Hf -3.527 -0.003 0.215
```

* energy of formation: 1226 meV per atom
* volume: 13.58 A^3/atom
* space group: Pm-3m, No. 221
* ΔE to the lowest computed polymorph: 0 meV/atom

***

What is the volume in the second record? 11.83 A^3/atom